[1]
Below is a relaxed structure of LiTc2As, with properties calculated at the GGA-PBE level.

The total energy comes out at -27.3 eV for the cell shown.

The structure belongs to space group Pm (No. 6); the cell edges are 2.882, 3.964 and 5.298 Å and the angles 90.00°, 105.76° and 90.00°. The asymmetric unit holds Li at (0.000, 0.000, 0.000), Tc at (0.275, 0.000, 0.520), Tc at (0.661, 0.500, 0.313) and As at (0.410, 0.500, 0.826).

[2]
Below is a relaxed structure of Li2TcAs, with properties calculated at the GGA-PBE level.

The total energy comes out at -18.7 eV for the cell shown.

The structure belongs to space group P4/mmm (No. 123); the cell edges are 3.455, 3.455 and 4.869 Å and the angles 90.00°, 90.00° and 90.00°. The asymmetric unit holds Li at (0.000, 0.000, 0.247), Tc at (0.500, 0.500, 0.000) and As at (0.500, 0.500, 0.500).

[3]
Below is a relaxed structure of LiTc2As, with properties calculated at the GGA-PBE level.

The total energy comes out at -26.6 eV for the cell shown.

The structure belongs to space group P4/mmm (No. 123); the cell edges are 3.722, 3.722 and 4.059 Å and the angles 90.00°, 90.00° and 90.00°. The asymmetric unit holds Li at (0.000, 0.000, 0.000), Tc at (0.000, 0.500, 0.500) and As at (0.500, 0.500, 0.000).

[4]
Below is a relaxed structure of LiTc2As, with properties calculated at the GGA-PBE level.

The total energy comes out at -53.1 eV for the cell shown.

The structure belongs to space group Cmm2 (No. 35); the cell edges are 2.941, 4.717 and 8.875 Å and the angles 90.00°, 90.00° and 90.00°. The asymmetric unit holds Li at (0.000, 0.000, 0.000), Tc at (0.000, 0.000, 0.499), Tc at (0.000, 0.500, 0.260) and As at (0.000, 0.500, 0.743).

[5]
Below is a relaxed structure of LiTc2As, with properties calculated at the GGA-PBE level.

The total energy comes out at -53.2 eV for the cell shown.

The structure belongs to space group I4/mmm (No. 139); the cell edges are 3.732, 3.732 and 8.027 Å and the angles 90.00°, 90.00° and 90.00°. The asymmetric unit holds Li at (0.000, 0.000, 0.000), Tc at (0.000, 0.500, 0.250) and As at (0.000, 0.000, 0.500).

[6]
Below is a relaxed structure of Li2TcAs, with properties calculated at the GGA-PBE level.

The total energy comes out at -38.6 eV for the cell shown.

The structure belongs to space group Immm (No. 71); the cell edges are 3.014, 4.095 and 9.186 Å and the angles 90.00°, 90.00° and 90.00°. The asymmetric unit holds Li at (0.000, 0.000, 0.237), Tc at (0.000, 0.500, 0.000) and As at (0.000, 0.500, 0.500).

[7]
Below is a relaxed structure of LiTc2As, with properties calculated at the GGA-PBE level.

The total energy comes out at -110.1 eV for the cell shown.

The structure belongs to space group F-43m (No. 216); the cell edges are 6.048, 6.048 and 6.048 Å and the angles 90.00°, 90.00° and 90.00°. The asymmetric unit holds Li at (0.000, 0.000, 0.000), Tc at (0.000, 0.000, 0.500), Tc at (0.250, 0.250, 0.750) and As at (0.250, 0.250, 0.250).

[8]
Below is a relaxed structure of Li2TcAs, with properties calculated at the GGA-PBE level.

The total energy comes out at -36.9 eV for the cell shown.

The structure belongs to space group Cmm2 (No. 35); the cell edges are 3.199, 4.860 and 8.694 Å and the angles 90.00°, 90.00° and 90.00°. The asymmetric unit holds Li at (0.000, 0.000, 0.000), Li at (0.000, 0.500, 0.298), Tc at (0.000, 0.000, 0.549) and As at (0.000, 0.500, 0.759).

[9]
Below is a relaxed structure of LiTc2As, with properties calculated at the GGA-PBE level.

The total energy comes out at -51.5 eV for the cell shown.

The structure belongs to space group Cmmm (No. 65); the cell edges are 3.020, 4.763 and 8.503 Å and the angles 90.00°, 90.00° and 90.00°. The asymmetric unit holds Li at (0.000, 0.000, 0.000), Tc at (0.000, 0.500, 0.271) and As at (0.000, 0.000, 0.500).

[10]
Below is a relaxed structure of Li2TcAs, with properties calculated at the GGA-PBE level.

The total energy comes out at -19.1 eV for the cell shown.

The structure belongs to space group P2/m (No. 10); the cell edges are 2.767, 4.436 and 4.908 Å and the angles 90.00°, 105.28° and 90.00°. The asymmetric unit holds Li at (0.074, 0.000, 0.245), Tc at (0.500, 0.500, 0.000) and As at (0.500, 0.500, 0.500).

[11]
Below is a relaxed structure of LiTc3As, with properties calculated at the GGA-PBE level.

The total energy comes out at -31.5 eV for the cell shown. Its energy above the most stable polymorph in this dataset is 121 meV/atom.

The structure belongs to space group Pm-3m (No. 221); the cell edges are 4.177, 4.177 and 4.177 Å and the angles 90.00°, 90.00° and 90.00°. The asymmetric unit holds Li at (0.000, 0.000, 0.000), Tc at (0.000, 0.000, 0.500) and As at (0.500, 0.500, 0.500).

[12]
Below is a relaxed structure of Li3TcAs, with properties calculated at the GGA-PBE level.

The total energy comes out at -15.2 eV for the cell shown. Its energy above the most stable polymorph in this dataset is 537 meV/atom.

The structure belongs to space group Pm-3m (No. 221); the cell edges are 4.728, 4.728 and 4.728 Å and the angles 90.00°, 90.00° and 90.00°. The asymmetric unit holds Li at (0.000, 0.000, 0.500), Tc at (0.000, 0.000, 0.000) and As at (0.500, 0.500, 0.500).

[13]
Below is a relaxed structure of Li2TcAs, with properties calculated at the GGA-PBE level.

The total energy comes out at -19.1 eV for the cell shown.

The structure belongs to space group P4/mmm (No. 123); the cell edges are 3.667, 3.667 and 4.175 Å and the angles 90.00°, 90.00° and 90.00°. The asymmetric unit holds Li at (0.000, 0.500, 0.000), Tc at (0.000, 0.000, 0.500) and As at (0.500, 0.500, 0.500).

[14]
Below is a relaxed structure of LiTc2As, with properties calculated at the GGA-PBE level.

The total energy comes out at -52.9 eV for the cell shown.

The structure belongs to space group C2/m (No. 12); the cell edges are 5.374, 8.576 and 2.770 Å and the angles 90.00°, 116.37° and 90.00°. The asymmetric unit holds Li at (0.000, 0.000, 0.000), Tc at (0.250, 0.250, 0.500) and As at (0.000, 0.500, 0.000).

[15]
Below is a relaxed structure of Li2TcAs, with properties calculated at the GGA-PBE level.

The total energy comes out at -19.7 eV for the cell shown.

The structure belongs to space group P4mm (No. 99); the cell edges are 3.220, 3.220 and 5.665 Å and the angles 90.00°, 90.00° and 90.00°. The asymmetric unit holds Li at (0.000, 0.000, 0.000), Li at (0.500, 0.500, 0.254), Tc at (0.000, 0.000, 0.523) and As at (0.500, 0.500, 0.717).

[16]
Below is a relaxed structure of LiTc2As, with properties calculated at the GGA-PBE level.

The total energy comes out at -53.2 eV for the cell shown.

The structure belongs to space group Cmmm (No. 65); the cell edges are 5.362, 6.218 and 3.279 Å and the angles 90.00°, 90.00° and 90.00°. The asymmetric unit holds Li at (0.000, 0.000, 0.000), Tc at (0.250, 0.250, 0.500) and As at (0.000, 0.500, 0.000).

[17]
Below is a relaxed structure of LiTc3As, with properties calculated at the GGA-PBE level.

The total energy comes out at -32.1 eV for the cell shown. Its energy above the most stable polymorph in this dataset is 0 meV/atom.

The structure belongs to space group Pm-3m (No. 221); the cell edges are 4.572, 4.572 and 4.572 Å and the angles 90.00°, 90.00° and 90.00°. The asymmetric unit holds Li at (0.000, 0.000, 0.000), Tc at (0.000, 0.500, 0.500) and As at (0.500, 0.500, 0.500).

[18]
Below is a relaxed structure of Li2TcAs, with properties calculated at the GGA-PBE level.

The total energy comes out at -19.0 eV for the cell shown.

The structure belongs to space group Pmmm (No. 47); the cell edges are 2.620, 4.296 and 5.107 Å and the angles 90.00°, 90.00° and 90.00°. The asymmetric unit holds Li at (0.000, 0.000, 0.245), Tc at (0.500, 0.500, 0.000) and As at (0.500, 0.500, 0.500).

[19]
Below is a relaxed structure of LiTc2As, with properties calculated at the GGA-PBE level.

The total energy comes out at -27.5 eV for the cell shown.

The structure belongs to space group P4mm (No. 99); the cell edges are 3.063, 3.063 and 5.828 Å and the angles 90.00°, 90.00° and 90.00°. The asymmetric unit holds Li at (0.000, 0.000, 0.000), Tc at (0.000, 0.000, 0.511), Tc at (0.500, 0.500, 0.243) and As at (0.500, 0.500, 0.775).

[20]
Below is a relaxed structure of LiTc2TeAs, with properties calculated at the GGA-PBE level.

The total energy comes out at -25.8 eV for the cell shown. Its formation energy from raw total energies is 922 meV/atom.

The structure belongs to space group P4/mmm (No. 123); the cell edges are 4.532, 4.532 and 3.913 Å and the angles 90.00°, 90.00° and 90.00°. The asymmetric unit holds Li at (0.000, 0.000, 0.000), Tc at (0.000, 0.500, 0.000), Te at (0.500, 0.500, 0.500) and As at (0.000, 0.000, 0.500).

[21]
Below is a relaxed structure of Li8Te2As, with properties calculated at the GGA-PBE level.

The total energy comes out at -68.7 eV for the cell shown. Its formation energy from raw total energies is -735 meV/atom.

The structure belongs to space group Cm (No. 8); the cell edges are 7.948, 14.209 and 4.397 Å and the angles 90.00°, 123.61° and 90.00°. The asymmetric unit holds Li at (0.000, 0.000, 0.000), Li at (0.122, 0.344, 0.624), Li at (0.149, 0.194, 0.152), Li at (0.156, 0.500, 0.158), Li at (0.302, 0.093, 0.805), Te at (0.409, 0.342, 0.411) and As at (0.401, 0.000, 0.403).

[22]
Below is a relaxed structure of LiTe3As, with properties calculated at the GGA-PBE level.

The total energy comes out at -33.9 eV for the cell shown. Its energy above the most stable polymorph in this dataset is 0 meV/atom. Its formation energy from raw total energies is -195 meV/atom.

The structure belongs to space group P2_1/m (No. 11); the cell edges are 7.434, 4.392 and 9.341 Å and the angles 90.00°, 91.85° and 90.00°. The asymmetric unit holds Li at (0.234, 0.250, 0.244), Te at (0.093, 0.750, 0.623), Te at (0.235, 0.750, 0.045), Te at (0.468, 0.750, 0.288) and As at (0.191, 0.250, 0.804).

[23]
Below is a relaxed structure of LiTe3As, with properties calculated at the GGA-PBE level.

The total energy comes out at -15.2 eV for the cell shown. Its energy above the most stable polymorph in this dataset is 352 meV/atom. Its formation energy from raw total energies is 158 meV/atom.

The structure belongs to space group Pm-3m (No. 221); the cell edges are 5.491, 5.491 and 5.491 Å and the angles 90.00°, 90.00° and 90.00°. The asymmetric unit holds Li at (0.000, 0.000, 0.000), Te at (0.000, 0.500, 0.500) and As at (0.500, 0.500, 0.500).

[24]
Below is a relaxed structure of Li8Te6As, with properties calculated at the GGA-PBE level.

The total energy comes out at -100.0 eV for the cell shown. Its formation energy from raw total energies is -745 meV/atom.

The structure belongs to space group Pmn2_1 (No. 31); the cell edges are 7.995, 8.407 and 11.847 Å and the angles 90.00°, 90.00° and 90.00°. The asymmetric unit holds Li at (0.000, 0.113, 0.000), Li at (0.000, 0.248, 0.440), Li at (0.210, 0.579, 0.789), Li at (0.216, 0.737, 0.113), Li at (0.223, 0.940, 0.782), Te at (0.000, 0.024, 0.603), Te at (0.000, 0.249, 0.218), Te at (0.000, 0.479, 0.605), Te at (0.000, 0.776, 0.933), Te at (0.231, 0.258, 0.849) and As at (0.000, 0.750, 0.478).

[25]
Below is a relaxed structure of LiTe2As, with properties calculated at the GGA-PBE level.

The total energy comes out at -28.4 eV for the cell shown. Its energy above the most stable polymorph in this dataset is 20 meV/atom. Its formation energy from raw total energies is -340 meV/atom.

The structure belongs to space group Cm (No. 8); the cell edges are 14.284, 4.074 and 4.166 Å and the angles 90.00°, 101.42° and 90.00°. The asymmetric unit holds Li at (0.000, 0.000, 0.000), Te at (0.212, 0.000, 0.104), Te at (0.481, 0.000, 0.480) and As at (0.167, 0.500, 0.641).

[26]
Below is a relaxed structure of LiTe2As, with properties calculated at the GGA-PBE level.

The total energy comes out at -27.0 eV for the cell shown. Its energy above the most stable polymorph in this dataset is 197 meV/atom. Its formation energy from raw total energies is -163 meV/atom.

The structure belongs to space group Immm (No. 71); the cell edges are 3.714, 4.274 and 13.130 Å and the angles 90.00°, 90.00° and 90.00°. The asymmetric unit holds Li at (0.000, 0.000, 0.000), Te at (0.000, 0.500, 0.163) and As at (0.000, 0.000, 0.500).

[27]
Below is a relaxed structure of LiTe4As, with properties calculated at the GGA-PBE level.

The total energy comes out at -66.8 eV for the cell shown. Its energy above the most stable polymorph in this dataset is 577 meV/atom. Its formation energy from raw total energies is 407 meV/atom.

The structure belongs to space group F-43m (No. 216); the cell edges are 8.943, 8.943 and 8.943 Å and the angles 90.00°, 90.00° and 90.00°. The asymmetric unit holds Li at (0.000, 0.000, 0.000), Te at (0.124, 0.124, 0.624) and As at (0.250, 0.250, 0.250).

[28]
Below is a relaxed structure of LiTe2As, with properties calculated at the GGA-PBE level.

The total energy comes out at -13.1 eV for the cell shown. Its energy above the most stable polymorph in this dataset is 287 meV/atom. Its formation energy from raw total energies is -73 meV/atom.

The structure belongs to space group P4mm (No. 99); the cell edges are 2.986, 2.986 and 12.365 Å and the angles 90.00°, 90.00° and 90.00°. The asymmetric unit holds Li at (0.000, 0.000, 0.000), Te at (0.000, 0.000, 0.526), Te at (0.500, 0.500, 0.190) and As at (0.500, 0.500, 0.845).